VASP calculation (PBE with a Hubbard U) on a relaxed Ti3VCu2P6O24 crystal.

a b c (Å): 8.6207 8.6207 8.6207
angles (deg): 60.08 60.08 60.08
Atoms (fractional coordinates):
Ti (0.0000, 0.0000, 0.0000)
Ti (0.2162, 0.2162, 0.2162)
Ti (0.5004, 0.5004, 0.5004)
V (0.7171, 0.7171, 0.7171)
Cu (0.3578, 0.3578, 0.3578)
Cu (0.8599, 0.8599, 0.8599)
P (0.1071, 0.8181, 0.3992)
P (0.3199, 0.6086, 0.8981)
P (0.3992, 0.1071, 0.8181)
P (0.6086, 0.8981, 0.3199)
P (0.8181, 0.3992, 0.1071)
P (0.8981, 0.3199, 0.6086)
O (0.0499, 0.8599, 0.2352)
O (0.0899, 0.2977, 0.4432)
O (0.1280, 0.7750, 0.9127)
O (0.1665, 0.9810, 0.3554)
O (0.2352, 0.0499, 0.8599)
O (0.2729, 0.6267, 0.4160)
O (0.2977, 0.4432, 0.0899)
O (0.3554, 0.1665, 0.9810)
O (0.3618, 0.5506, 0.7345)
O (0.4160, 0.2729, 0.6267)
O (0.4432, 0.0899, 0.2977)
O (0.4801, 0.6638, 0.8639)
O (0.5506, 0.7345, 0.3618)
O (0.5907, 0.9417, 0.8036)
O (0.6267, 0.4160, 0.2729)
O (0.6638, 0.8639, 0.4801)
O (0.7345, 0.3618, 0.5506)
O (0.7750, 0.9127, 0.1280)
O (0.8036, 0.5907, 0.9417)
O (0.8599, 0.2352, 0.0499)
O (0.8639, 0.4801, 0.6639)
O (0.9127, 0.1280, 0.7750)
O (0.9417, 0.8036, 0.5907)
O (0.9810, 0.3554, 0.1665)

* E_tot: -7.551 eV per atom
* ρ: 3.262 g cm⁻³
* symmetry: R3, No. 146